Computed, not measured: a relaxed structure of NdTmCdAg at the PBE-GGA level of DFT.

The space group is F-43m (No. 216) and the conventional cell measures 7.4568, 7.4568 and 7.4568 Å, with angles of 90.00, 90.00 and 90.00 degrees. The asymmetric unit holds Nd at (0.0000, 0.0000, 0.0000), Tm at (0.0000, 0.0000, 0.5000), Cd at (0.2500, 0.2500, 0.2500) and Ag at (0.2500, 0.2500, 0.7500).

For the energy above the most stable polymorph in this dataset, the calculation gives 0.015 eV/atom. As for the volume: 25.9 Å³/atom. As for the density of states at the Fermi level: 3.2 states/eV/f.u.



Computed, not measured: a relaxed structure of NdTmCdAg at the PBE-GGA level of DFT.

The space group is P4mm (No. 99) and the conventional cell measures 3.6945, 3.6945 and 7.5597 Å, with angles of 90.00, 90.00 and 90.00 degrees. The asymmetric unit holds Nd at (0.0000, 0.0000, 0.0000), Tm at (0.0000, 0.0000, 0.4834), Cd at (0.5000, 0.5000, 0.7257) and Ag at (0.5000, 0.5000, 0.2705).

For the energy above the most stable polymorph in this dataset, the calculation gives 0.000 eV/atom. As for the volume: 25.8 Å³/atom. As for the density of states at the Fermi level: 3.9 states/eV/f.u.



Computed, not measured: a relaxed structure of NdZnCdAg at the PBE-GGA level of DFT.

The space group is F-43m (No. 216) and the conventional cell measures 7.0432, 7.0432 and 7.0432 Å, with angles of 90.00, 90.00 and 90.00 degrees. The asymmetric unit holds Nd at (0.0000, 0.0000, 0.0000), Zn at (0.2500, 0.2500, 0.7500), Cd at (0.0000, 0.0000, 0.5000) and Ag at (0.2500, 0.2500, 0.2500).

As for the volume: 21.8 Å³/atom. As for the density of states at the Fermi level: 3.1 states/eV/f.u.



| no. | energy of formation (kcal/mol of atoms) |
| --- | --- |
| 1 | -6.57 |
| 2 | -6.92 |
| 3 | -7.05 |